No. 1
VASP calculation (PBE) on an optimized crystal structure of Pr2Th4Sn3H2.

Results
**Total magnetic moment**: 0.064 μB per atom
**Density of states at the Fermi level**: 11.0 states/eV/cell
**Total energy**: -5.673 eV/atom
**V**: 302.6 Å³ per cell

Unit cell a=4.7570 b=4.7570 c=13.7881 alpha=99.93 beta=99.93 gamma=90.00
Fractional coordinates of all 11 atoms:
Th: 0.4175 0.9175 0.8350
Th: 0.9175 0.4175 0.8350
Pr: 0.7036 0.7036 0.4072
H: 0.5700 0.5700 0.1401
Sn: 0.0000 0.0000 0.0000
Th: 0.0825 0.5825 0.1650
Pr: 0.2964 0.2964 0.5928
Th: 0.5825 0.0825 0.1650
H: 0.4300 0.4300 0.8599
Sn: 0.1735 0.1735 0.3471
Sn: 0.8265 0.8265 0.6529

---

No. 2
VASP calculation (PBE) on an optimized crystal structure of Sr2PrH.

Results
**Total magnetic moment**: 0.000 μB per atom
**Density of states at the Fermi level**: 4.8 states/eV/cell
**Total energy**: -2.778 eV/atom
**V**: 132.7 Å³ per cell

Unit cell a=3.8055 b=3.8055 c=10.8103 alpha=79.86 beta=79.86 gamma=60.00
Fractional coordinates of all 4 atoms:
Sr: 0.8839 0.8839 0.3484
Sr: 0.1161 0.1161 0.6516
Pr: 0.0000 0.0000 0.0000
H: 0.5000 0.5000 0.5000

---

No. 3
VASP calculation (PBE) on an optimized crystal structure of Sr3PrH.

Results
**Total magnetic moment**: 0.181 μB per atom
**Density of states at the Fermi level**: 5.5 states/eV/cell
**Total energy**: -2.635 eV/atom
**V**: 180.8 Å³ per cell

Unit cell a=5.6548 b=5.6548 c=5.6548 alpha=90.00 beta=90.00 gamma=90.00
Fractional coordinates of all 5 atoms:
Sr: 0.0000 0.5000 0.0000
Pr: 0.5000 0.5000 0.5000
H: 0.0000 0.0000 0.0000
Sr: 0.5000 0.0000 0.0000
Sr: 0.0000 0.0000 0.5000

---

No. 4
VASP calculation (PBE) on an optimized crystal structure of SrPrH2.

Results
**Total magnetic moment**: 0.237 μB per atom
**Density of states at the Fermi level**: 0.8 states/eV/cell
**Total energy**: -3.560 eV/atom
**V**: 88.5 Å³ per cell

Unit cell a=3.9545 b=3.9545 c=6.9206 alpha=73.40 beta=73.40 gamma=60.00
Fractional coordinates of all 4 atoms:
Sr: 0.4676 0.4676 0.5973
Pr: 0.6528 0.6528 0.0416
H: 0.0483 0.0483 0.8551
H: 0.3313 0.3313 0.0060

---

No. 5
VASP calculation (PBE) on an optimized crystal structure of SrPr2H7.

Results
**Total magnetic moment**: 0.000 μB per atom
**Density of states at the Fermi level**: 0.8 states/eV/cell
**Total energy**: -4.045 eV/atom
**V**: 131.4 Å³ per cell

Unit cell a=4.0006 b=4.0006 c=8.6867 alpha=103.31 beta=103.31 gamma=90.00
Fractional coordinates of all 10 atoms:
H: 0.4060 0.9060 0.8120
H: 0.2500 0.7500 0.5000
H: 0.7500 0.2500 0.5000
H: 0.5940 0.0940 0.1880
Pr: 0.6609 0.6609 0.3219
H: 0.0940 0.5940 0.1880
H: 0.5000 0.5000 0.0000
Pr: 0.3391 0.3391 0.6781
Sr: 0.0000 0.0000 0.0000
H: 0.9060 0.4060 0.8120

---

No. 6
VASP calculation (PBE) on an optimized crystal structure of Sr3Pr5H12.

Results
**Total magnetic moment**: 0.107 μB per atom
**Density of states at the Fermi level**: 42.9 states/eV/cell
**Total energy**: -3.825 eV/atom
**V**: 1436.3 Å³ per cell

Unit cell a=12.3108 b=12.3108 c=12.3108 alpha=109.47 beta=109.47 gamma=109.47
Fractional coordinates of all 80 atoms:
H: 0.4026 0.3502 0.5655
Sr: 0.6250 0.3750 0.7500
Pr: 0.1250 0.3750 0.2500
H: 0.0524 0.4026 0.8371
Sr: 0.2500 0.1250 0.3750
H: 0.3502 0.4026 0.0655
H: 0.8502 0.5655 0.9026
H: 0.5524 0.3371 0.9026
H: 0.7848 0.4476 0.3502
H: 0.5655 0.7152 0.6629
H: 0.2848 0.8502 0.9476
H: 0.5974 0.6498 0.4345
H: 0.8502 0.2848 0.4476
H: 0.3371 0.7848 0.4345
Sr: 0.8750 0.7500 0.1250
Sr: 0.6250 0.2500 0.3750
H: 0.5974 0.9476 0.6629
H: 0.1629 0.0974 0.9476
H: 0.7152 0.5655 0.1629
Sr: 0.7500 0.3750 0.1250
Pr: 0.6250 0.8750 0.2500
Pr: 0.3750 0.1250 0.7500
Pr: 0.0000 0.0000 0.5000
Sr: 0.2500 0.6250 0.8750
H: 0.4476 0.7848 0.8502
Sr: 0.8750 0.1250 0.2500
Sr: 0.1250 0.2500 0.8750
H: 0.2152 0.5524 0.6498
H: 0.9026 0.8371 0.5524
H: 0.0655 0.9026 0.3502
H: 0.0524 0.6498 0.7152
Sr: 0.3750 0.7500 0.6250
Pr: 0.3750 0.2500 0.1250
H: 0.9345 0.0974 0.6498
Pr: 0.0000 0.0000 0.0000
Pr: 0.5000 0.5000 0.0000
Pr: 0.5000 0.0000 0.0000
Pr: 0.7500 0.1250 0.8750
H: 0.6629 0.2152 0.5655
H: 0.5524 0.2152 0.1498
Pr: 0.5000 0.5000 0.5000
H: 0.1629 0.0655 0.7152
H: 0.1498 0.4345 0.0974
Pr: 0.1250 0.7500 0.3750
H: 0.1498 0.7152 0.5524
H: 0.7152 0.1498 0.0524
Pr: 0.5000 0.0000 0.5000
Sr: 0.1250 0.8750 0.7500
H: 0.4345 0.1498 0.5974
H: 0.6629 0.4476 0.5974
H: 0.9476 0.5974 0.1629
Pr: 0.2500 0.8750 0.1250
H: 0.0974 0.1629 0.4476
Sr: 0.3750 0.6250 0.2500
H: 0.4026 0.0524 0.3371
H: 0.3502 0.9476 0.7848
H: 0.7848 0.3371 0.9345
H: 0.5655 0.8502 0.4026
H: 0.9345 0.8371 0.7848
H: 0.2152 0.6629 0.0655
H: 0.2848 0.4345 0.8371
H: 0.8371 0.9026 0.0524
H: 0.8371 0.9345 0.2848
Pr: 0.0000 0.5000 0.0000
Pr: 0.8750 0.6250 0.7500
Pr: 0.2500 0.3750 0.6250
H: 0.0655 0.1629 0.2152
Pr: 0.0000 0.5000 0.5000
H: 0.4476 0.6629 0.0974
H: 0.6498 0.5974 0.9345
H: 0.9026 0.0655 0.8502
H: 0.9476 0.3502 0.2848
Pr: 0.7500 0.6250 0.3750
H: 0.4345 0.2848 0.3371
Sr: 0.7500 0.8750 0.6250
Pr: 0.6250 0.7500 0.8750
H: 0.3371 0.5524 0.4026
H: 0.0974 0.9345 0.1498
H: 0.6498 0.0524 0.2152
Pr: 0.8750 0.2500 0.6250